CsPr2AgO4 | GGA-PBE | optimized geometry

abc: 3.7272 3.7272 13.8349
angles: 90.00 90.00 120.00
With the nearest neighbours (Å) after each atom.
Space group P-6m2 (No. 187)
Asymmetric unit:
Cs  0.0000  0.0000  0.0000  2 O 2.67
Pr  0.3333  0.6667  0.2762  6 O 2.39-2.44
Ag  0.6667  0.3333  0.5000  2 O 2.05
O  0.0000  0.0000  0.1930  3 Pr 2.44, 1 Cs 2.67
O  0.6667  0.3333  0.3521  1 Ag 2.05

- M_tot: 0.002 Bohr magnetons per cell
- Raw total energy: -0.465 Ry per atom


CsAg3PtO4 | GGA-PBE | optimized geometry

abc: 5.7085 5.7085 5.7085
angles: 90.00 90.00 90.00
With the nearest neighbours (Å) after each atom.
Space group P-43m (No. 215)
Asymmetric unit:
Cs  0.0000  0.0000  0.0000  4 O 2.87
Ag  0.0000  0.5000  0.5000  4 O 2.37
Pt  0.5000  0.5000  0.5000  4 O 2.07
O  0.2902  0.2902  0.2902  1 Pt 2.07

- M_tot: 1.991 Bohr magnetons per cell
- Raw total energy: -0.288 Ry per atom


CsAgPtO3 | GGA-PBE | optimized geometry

abc: 12.7200 3.2699 10.5267
angles: 90.00 90.00 90.00
With the nearest neighbours (Å) after each atom.
Space group Pnma (No. 62)
Asymmetric unit:
Cs  0.2313  0.2500  0.1485  5 O 2.82-3.12
Ag  0.0301  0.2500  0.9083  2 O 2.17
Pt  0.0074  0.2500  0.3724  6 O 2.00-2.10
O  0.0758  0.2500  0.5517  3 Pt 2.08-2.10
O  0.0786  0.7500  0.7863  1 Pt 2.00, 2 Ag 2.17
O  0.0901  0.7500  0.3077  2 Pt 2.06

- M_tot: 0.019 Bohr magnetons per cell
- Raw total energy: -0.346 Ry per atom


Please write out number 3 again, unchanged.
CsAgPtO3 | GGA-PBE | optimized geometry

abc: 12.7200 3.2699 10.5267
angles: 90.00 90.00 90.00
With the nearest neighbours (Å) after each atom.
Space group Pnma (No. 62)
Asymmetric unit:
Cs  0.2313  0.2500  0.1485  5 O 2.82-3.12
Ag  0.0301  0.2500  0.9083  2 O 2.17
Pt  0.0074  0.2500  0.3724  6 O 2.00-2.10
O  0.0758  0.2500  0.5517  3 Pt 2.08-2.10
O  0.0786  0.7500  0.7863  1 Pt 2.00, 2 Ag 2.17
O  0.0901  0.7500  0.3077  2 Pt 2.06

- M_tot: 0.019 Bohr magnetons per cell
- Raw total energy: -0.346 Ry per atom